Here is AcLa3In2 after structural relaxation from Alexandria via LeMat-Bulk. Energies are from PBE.

```
AcLa3In2
1.0
-0.922 -4.314 3.426
4.609 -4.029 -3.832
7.636 3.085 5.941
Ac La In
2 6 4
Direct
0.500 0.508 0.539
0.500 0.008 0.461
0.000 0.288 0.328
0.000 0.788 0.672
0.000 0.493 0.960
0.000 0.993 0.040
0.500 0.712 0.166
0.500 0.212 0.834
0.500 0.235 0.154
0.500 0.735 0.846
0.000 0.763 0.341
0.000 0.263 0.659
```

Computed properties:
Excess energy over the best structure of this formula in the dataset, kJ/mol of formula units: 0
VASP energy, eV/atom: -4.41
Spin magnetization, μB/cell: 0.0
Energy relative to the elements, eV per atom: -0.34
Density of states at the Fermi level, states/eV/atom: 1.3396